(1)
Computed, not measured: a relaxed CdRu2Pb crystal at the PBE-GGA level of DFT.

a b c (Å): 9.8928 9.8928 9.8928
angles (deg): 17.49 17.49 17.49
Sites, in units of the cell vectors:
Ru 0.9901 0.9901 0.9901
Ru 0.2576 0.2576 0.2576
Cd 0.5114 0.5114 0.5114
Pb 0.7410 0.7410 0.7410

## Properties
For the energy, the calculation gives -21.35 eV for the cell shown. For the density of states at the Fermi level, the calculation gives 3.15 states/eV per cell. The value obtained for the volume is 76 Å³ per cell. The formation energy from the elements is 0.455 eV per atom. As for the space-group type: R3m, No. 160.



(2)
Computed, not measured: a relaxed CdRu4Pb crystal at the PBE-GGA level of DFT.

a b c (Å): 5.2956 5.2956 5.2956
angles (deg): 60.00 60.00 60.00
Last column: magnetic moment on the atom in μB.
Sites, in units of the cell vectors:
Ru 0.3752 0.8745 0.3752  0.86
Ru 0.8745 0.3752 0.3752  0.86
Ru 0.3752 0.3752 0.8745  0.86
Ru 0.3752 0.3752 0.3752  0.86
Cd 0.7500 0.7500 0.7500  -0.01
Pb 0.0000 0.0000 0.0000  0.03

## Properties
For the energy, the calculation gives -38.20 eV for the cell shown. For the density of states at the Fermi level, the calculation gives 7.40 states/eV per cell. The value obtained for the volume is 105 Å³ per cell. The formation energy from the elements is 0.588 eV per atom. As for the space-group type: F-43m, No. 216.



(3)
Computed, not measured: a relaxed Cd2RuPb crystal at the PBE-GGA level of DFT.

a b c (Å): 8.5730 8.5730 6.6292
angles (deg): 49.71 49.71 90.00
Sites, in units of the cell vectors:
Ru 0.5000 0.5000 0.0000
Ru 0.2500 0.7500 0.5000
Pb 0.7500 0.2500 0.5000
Pb 0.0000 0.0000 0.0000
Cd 0.8750 0.8008 0.7500
Cd 0.3750 0.4492 0.7500
Cd 0.1992 0.6250 0.2500
Cd 0.5508 0.1250 0.2500

## Properties
For the energy, the calculation gives -25.92 eV for the cell shown. For the density of states at the Fermi level, the calculation gives 0.41 states/eV per cell. The value obtained for the volume is 197 Å³ per cell. The formation energy from the elements is 0.464 eV per atom. As for the space-group type: I-42d, No. 122.



- The highest formation energy from the elements belongs to which entry?
  CdRu4Pb



Repeat the second record exactly.
Computed, not measured: a relaxed CdRu4Pb crystal at the PBE-GGA level of DFT.

a b c (Å): 5.2956 5.2956 5.2956
angles (deg): 60.00 60.00 60.00
Last column: magnetic moment on the atom in μB.
Sites, in units of the cell vectors:
Ru 0.3752 0.8745 0.3752  0.86
Ru 0.8745 0.3752 0.3752  0.86
Ru 0.3752 0.3752 0.8745  0.86
Ru 0.3752 0.3752 0.3752  0.86
Cd 0.7500 0.7500 0.7500  -0.01
Pb 0.0000 0.0000 0.0000  0.03

## Properties
For the energy, the calculation gives -38.20 eV for the cell shown. For the density of states at the Fermi level, the calculation gives 7.40 states/eV per cell. The value obtained for the volume is 105 Å³ per cell. The formation energy from the elements is 0.588 eV per atom. As for the space-group type: F-43m, No. 216.